An optimized crystal structure of LaWSe. Source: Alexandria via LeMat-Bulk, functional GGA-PBEsol.

Symmetry: F-43m, No. 216
Formation energy without anion corrections in eV per atom: 1.2156
Energy above the lowest structure with this stoichiometry in meV/atom: 688
M_tot in μB/f.u.: 3.70
Volume in A^3/atom: 28.42
Raw total energy in eV per atom: -6.452
Theoretical density in g/cm³: 7.82

Cell lengths 4.941, 4.941, 4.941 Å; angles 60.00, 60.00, 60.00 degrees
Site moments in Bohr magnetons follow the coordinates.
Positions (direct):
Se (0.000, 0.000, 0.000)  0.06
W (0.500, 0.500, 0.500)  2.48
La (0.250, 0.250, 0.250)  0.28